# PBE ZrMo2Pt, relaxed
# N(E_F) = 6.10 states/eV/f.u.
# E_tot = -8.977 eV/atom
# DFT formation energy = 85 meV per atom
# Energy above the lowest structure with this stoichiometry = 0.356 eV per atom
data_ZrMo2Pt
_chemical_formula_sum 'Zr4 Mo8 Pt4'
_space_group_name_H-M_alt 'F m -3 m'
_space_group_IT_number 225
_space_group_name_Hall '-F 4 2 3'
_cell_length_a 6.480
_cell_length_b 6.480
_cell_length_c 6.480
_cell_angle_alpha 90.00
_cell_angle_beta 90.00
_cell_angle_gamma 90.00
loop_
_atom_site_label
_atom_site_type_symbol
_atom_site_fract_x
_atom_site_fract_y
_atom_site_fract_z
Zr1 Zr 0.000 0.000 0.000
Mo1 Mo 0.250 0.250 0.250
Pt1 Pt 0.000 0.000 0.500

# PBE CaLa12Nd7, relaxed
# N(E_F) = 31.94 states/eV/f.u.
# E_tot = -4.233 eV/atom
# DFT formation energy = 492 meV per atom
data_CaLa12Nd7
_chemical_formula_sum 'Ca2 La24 Nd14'
_space_group_name_H-M_alt 'I m -3'
_space_group_IT_number 204
_space_group_name_Hall '-I 2 2 3'
_cell_length_a 11.870
_cell_length_b 11.870
_cell_length_c 11.870
_cell_angle_alpha 90.00
_cell_angle_beta 90.00
_cell_angle_gamma 90.00
loop_
_atom_site_label
_atom_site_type_symbol
_atom_site_fract_x
_atom_site_fract_y
_atom_site_fract_z
Ca1 Ca 0.000 0.000 0.000
La1 La 0.000 0.256 0.254
Nd1 Nd 0.000 0.000 0.500
Nd2 Nd 0.250 0.250 0.250

# PBE Zr4RuPt, relaxed
# N(E_F) = 12.00 states/eV/f.u.
# E_tot = -7.921 eV/atom
# DFT formation energy = 331 meV per atom
data_Zr4RuPt
_chemical_formula_sum 'Zr16 Ru4 Pt4'
_space_group_name_H-M_alt 'F -4 3 m'
_space_group_IT_number 216
_space_group_name_Hall 'F -4 2 3'
_cell_length_a 7.808
_cell_length_b 7.808
_cell_length_c 7.808
_cell_angle_alpha 90.00
_cell_angle_beta 90.00
_cell_angle_gamma 90.00
loop_
_atom_site_label
_atom_site_type_symbol
_atom_site_fract_x
_atom_site_fract_y
_atom_site_fract_z
Zr1 Zr 0.125 0.125 0.125
Ru1 Ru 0.000 0.000 0.500
Pt1 Pt 0.250 0.250 0.750

# PBE Ac3Ge9Pt2, relaxed
# N(E_F) = 7.04 states/eV/f.u.
# E_tot = -5.187 eV/atom
# DFT formation energy = -475 meV per atom
data_Ac3Ge9Pt2
_chemical_formula_sum 'Ac6 Ge18 Pt4'
_space_group_name_H-M_alt 'I m m m'
_space_group_IT_number 71
_space_group_name_Hall '-I 2 2'
_cell_length_a 4.109
_cell_length_b 10.369
_cell_length_c 15.139
_cell_angle_alpha 90.00
_cell_angle_beta 90.00
_cell_angle_gamma 90.00
loop_
_atom_site_label
_atom_site_type_symbol
_atom_site_fract_x
_atom_site_fract_y
_atom_site_fract_z
Ac1 Ac 0.000 0.000 0.000
Ac2 Ac 0.000 0.000 0.306
Ge1 Ge 0.000 0.289 0.112
Ge2 Ge 0.000 0.370 0.349
Ge3 Ge 0.000 0.500 0.000
Pt1 Pt 0.000 0.232 0.500

# PBE FeBiN2, relaxed
# N(E_F) = 7.68 states/eV/f.u.
# E_tot = -5.803 eV/atom
# ΔE_f (raw) = 5.784 eV per formula unit
# Energy above the lowest structure with this stoichiometry = 0.805 eV per atom
data_FeBiN2
_chemical_formula_sum 'Fe4 Bi4 N8'
_space_group_name_H-M_alt 'F m -3 m'
_space_group_IT_number 225
_space_group_name_Hall '-F 4 2 3'
_cell_length_a 5.826
_cell_length_b 5.826
_cell_length_c 5.826
_cell_angle_alpha 90.00
_cell_angle_beta 90.00
_cell_angle_gamma 90.00
loop_
_atom_site_label
_atom_site_type_symbol
_atom_site_fract_x
_atom_site_fract_y
_atom_site_fract_z
Fe1 Fe 0.000 0.000 0.000
Bi1 Bi 0.000 0.000 0.500
N1 N 0.250 0.250 0.250

# PBE YSc4Ru5, relaxed
# N(E_F) = 13.39 states/eV/f.u.
# E_tot = -8.288 eV/atom
# DFT formation energy = -471 meV per atom
data_YSc4Ru5
_chemical_formula_sum 'Y1 Sc4 Ru5'
_space_group_name_H-M_alt 'P 4/m m m'
_space_group_IT_number 123
_space_group_name_Hall '-P 4 2'
_cell_length_a 3.253
_cell_length_b 3.253
_cell_length_c 16.260
_cell_angle_alpha 90.00
_cell_angle_beta 90.00
_cell_angle_gamma 90.00
loop_
_atom_site_label
_atom_site_type_symbol
_atom_site_fract_x
_atom_site_fract_y
_atom_site_fract_z
Y1 Y 0.000 0.000 0.000
Sc1 Sc 0.000 0.000 0.207
Sc2 Sc 0.000 0.000 0.402
Ru1 Ru 0.500 0.500 0.111
Ru2 Ru 0.500 0.500 0.305
Ru3 Ru 0.500 0.500 0.500

# PBE Nd4Cd2N, relaxed
# N(E_F) = 3.73 states/eV/f.u.
# E_tot = -4.681 eV/atom
# ΔE_f (raw) = -3.542 eV per formula unit
# Energy above the lowest structure with this stoichiometry = 0.000 eV per atom
data_Nd4Cd2N
_chemical_formula_sum 'Nd8 Cd4 N2'
_space_group_name_H-M_alt 'I 4/m m m'
_space_group_IT_number 139
_space_group_name_Hall '-I 4 2'
_cell_length_a 5.084
_cell_length_b 5.084
_cell_length_c 15.287
_cell_angle_alpha 90.00
_cell_angle_beta 90.00
_cell_angle_gamma 90.00
loop_
_atom_site_label
_atom_site_type_symbol
_atom_site_fract_x
_atom_site_fract_y
_atom_site_fract_z
Nd1 Nd 0.000 0.000 0.163
Nd2 Nd 0.000 0.500 0.000
Cd1 Cd 0.000 0.000 0.369
N1 N 0.000 0.000 0.000

# PBE LiLa2PbSe4, relaxed
# N(E_F) = 4.24 states/eV/f.u.
# E_tot = -5.118 eV/atom
# ΔE_f (raw) = -11.525 eV per formula unit
data_LiLa2PbSe4
_chemical_formula_sum 'Li4 La8 Pb4 Se16'
_space_group_name_H-M_alt 'I m m a'
_space_group_IT_number 74
_space_group_name_Hall '-I 2b 2'
_cell_length_a 8.574
_cell_length_b 8.676
_cell_length_c 12.127
_cell_angle_alpha 90.00
_cell_angle_beta 90.00
_cell_angle_gamma 90.00
loop_
_atom_site_label
_atom_site_type_symbol
_atom_site_fract_x
_atom_site_fract_y
_atom_site_fract_z
Li1 Li 0.000 0.000 0.000
La1 La 0.000 0.000 0.500
La2 La 0.250 0.250 0.250
Pb1 Pb 0.250 0.250 0.750
Se1 Se 0.000 0.004 0.245
Se2 Se 0.246 0.250 0.002

# PBE Nb2Tl2PdS6, relaxed
# N(E_F) = 7.43 states/eV/f.u.
# E_tot = -5.590 eV/atom
# ΔE_f (raw) = -6.660 eV per formula unit
data_Nb2Tl2PdS6
_chemical_formula_sum 'Nb4 Tl4 Pd2 S12'
_space_group_name_H-M_alt 'C 1 2/m 1'
_space_group_IT_number 12
_space_group_name_Hall '-C 2y'
_cell_length_a 6.040
_cell_length_b 11.078
_cell_length_c 7.893
_cell_angle_alpha 90.00
_cell_angle_beta 102.96
_cell_angle_gamma 90.00
loop_
_atom_site_label
_atom_site_type_symbol
_atom_site_fract_x
_atom_site_fract_y
_atom_site_fract_z
Nb1 Nb 0.000 0.141 0.000
Tl1 Tl 0.000 0.327 0.500
Pd1 Pd 0.000 0.500 0.000
S1 S 0.223 0.320 0.178
S2 S 0.235 0.000 0.202

# PBE Li2NpRuO8, relaxed
# N(E_F) = 3.60 states/eV/f.u.
# E_tot = -7.156 eV/atom
# ΔE_f (raw) = -20.157 eV per formula unit
data_Li2NpRuO8
_chemical_formula_sum 'Li4 Np2 Ru2 O16'
_space_group_name_H-M_alt 'C m m m'
_space_group_IT_number 65
_space_group_name_Hall '-C 2 2'
_cell_length_a 6.605
_cell_length_b 6.797
_cell_length_c 6.356
_cell_angle_alpha 90.00
_cell_angle_beta 90.00
_cell_angle_gamma 90.00
loop_
_atom_site_label
_atom_site_type_symbol
_atom_site_fract_x
_atom_site_fract_y
_atom_site_fract_z
Li1 Li 0.000 0.000 0.236
Np1 Np 0.000 0.500 0.500
Ru1 Ru 0.000 0.500 0.000
O1 O 0.000 0.311 0.238
O2 O 0.219 0.000 0.500
O3 O 0.229 0.000 0.000

# PBE La2Tb5SmDy, relaxed
# N(E_F) = 12.72 states/eV/f.u.
# E_tot = -4.454 eV/atom
# DFT formation energy = 249 meV per atom
data_La2Tb5SmDy
_chemical_formula_sum 'La8 Tb20 Sm4 Dy4'
_space_group_name_H-M_alt 'I 4/m c m'
_space_group_IT_number 140
_space_group_name_Hall '-I 4 2c'
_cell_length_a 8.636
_cell_length_b 8.636
_cell_length_c 16.033
_cell_angle_alpha 90.00
_cell_angle_beta 90.00
_cell_angle_gamma 90.00
loop_
_atom_site_label
_atom_site_type_symbol
_atom_site_fract_x
_atom_site_fract_y
_atom_site_fract_z
La1 La 0.119 0.381 0.000
Tb1 Tb 0.000 0.000 0.000
Tb2 Tb 0.215 0.285 0.358
Sm1 Sm 0.000 0.500 0.250
Dy1 Dy 0.000 0.000 0.250